<A>
A crystal of TaCoAu relaxed with PBEsol, computed with SCAN.

a b c (Å): 3.215 3.215 4.857
angles (deg): 109.33 109.33 90.00
Atoms (fractional coordinates):
Au 0.998 0.998 0.995
Co 0.317 0.317 0.634
Ta 0.685 0.685 0.371

Calculated values
- crystal system = tetragonal

***

<B>
A crystal of TaCoAu relaxed with PBEsol, computed with SCAN.

a b c (Å): 4.213 4.213 4.213
angles (deg): 60.00 60.00 60.00
Atoms (fractional coordinates):
Au 0.000 0.000 0.000
Co 0.500 0.500 0.500
Ta 0.250 0.250 0.250

Calculated values
- crystal system = cubic

***

What should be chosen as the most stable of them? Choose <A>.

***

<A>
A crystal of CrGeAu3 relaxed with PBEsol, computed with SCAN.

a b c (Å): 4.755 4.755 4.755
angles (deg): 90.00 90.00 90.00
Atoms (fractional coordinates):
Cr 0.500 0.500 0.500
Ge 0.000 0.000 0.000
Au 0.000 0.500 0.000
Au 0.000 0.000 0.500
Au 0.500 0.000 0.000

Calculated values
- crystal system = cubic

***

<B>
A crystal of CrGeAu3 relaxed with PBEsol, computed with SCAN.

a b c (Å): 4.816 4.816 4.816
angles (deg): 90.00 90.00 90.00
Atoms (fractional coordinates):
Cr 0.000 0.000 0.000
Ge 0.500 0.500 0.500
Au 0.000 0.500 0.000
Au 0.000 0.000 0.500
Au 0.500 0.000 0.000

Calculated values
- crystal system = cubic

***

What should be chosen as the most stable of them? Choose <A>.